Y6ZnCd2: optimized geometry, PBE-GGA.

Summary:
**DOS(E_F)**: 24.496 states/eV per cell
**Calculated volume**: 28.76 Å³ per atom
**Formation energy**: -0.12 eV per atom
**Crystal system**: monoclinic

a b c (Å): 6.420 9.189 8.963
angles (deg): 90.00 78.21 90.00
Atoms (fractional coordinates):
Y1 0.101 0.309 0.058
Y2 0.621 0.465 0.293
Y3 0.611 0.171 0.969
Y4 0.111 0.329 0.469
Y5 0.879 0.965 0.207
Y6 0.399 0.809 0.442
Y7 0.379 0.535 0.707
Y8 0.899 0.691 0.942
Y9 0.601 0.191 0.558
Y10 0.889 0.671 0.531
Y11 0.121 0.035 0.793
Y12 0.389 0.829 0.031
Cd1 0.125 0.601 0.222
Cd2 0.625 0.899 0.722
Cd3 0.875 0.399 0.778
Cd4 0.375 0.101 0.278
Zn1 0.000 0.000 0.500
Zn2 0.500 0.500 0.000